[1]
First-principles (PBE) data for an optimized crystal structure of Tb4SmHo3Se8, as listed in Alexandria via LeMat-Bulk.

## Properties
density = 8.20 Mg/m³
ΔE_f (raw) = -1.75 eV per atom
M_tot = 0.00 μB per formula unit
space group = No. 166

```
Tb4SmHo3Se8
1.0
4.091 2.362 6.683
-4.091 2.362 6.683
0.000 -4.724 6.683
Tb Sm Ho Se
4 1 3 8
Cartesian
0.000 0.000 0.000
-2.046 -1.181 6.683
-2.046 1.181 13.365
0.000 2.362 6.683
0.000 0.000 10.024
-4.091 0.000 10.024
-2.046 1.181 3.341
2.046 1.181 3.341
-2.076 -1.199 11.692
0.000 -2.397 8.355
-2.076 1.199 8.355
0.000 0.000 4.984
0.000 0.000 15.063
2.076 -1.199 11.692
0.000 2.397 11.692
2.076 1.199 8.355
```


[2]
First-principles (PBE) data for an optimized crystal structure of Tb4SmHoSe8, as listed in Alexandria via LeMat-Bulk.

## Properties
density = 6.13 Mg/m³
ΔE_f (raw) = -1.72 eV per atom
M_tot = 0.00 μB per formula unit
space group = No. 160

```
Tb4SmHoSe8
1.0
4.236 2.446 6.902
-4.236 2.446 6.902
0.000 -4.891 6.902
Tb Sm Ho Se
4 1 1 8
Cartesian
0.000 0.000 0.000
0.000 -2.455 11.230
-2.126 1.227 11.230
2.126 1.227 11.230
0.000 0.000 15.548
0.000 0.000 7.770
0.000 0.000 2.741
0.000 -2.288 6.019
-1.981 1.144 6.019
-1.952 -1.127 9.549
1.982 1.144 6.019
1.952 -1.127 9.549
0.000 2.254 9.549
0.000 0.000 12.769
```


[3]
First-principles (PBE) data for an optimized crystal structure of TbSmHo2Se4, as listed in Alexandria via LeMat-Bulk.

## Properties
density = 8.16 Mg/m³
ΔE_f (raw) = -1.76 eV per atom
M_tot = 0.00 μB per formula unit
space group = No. 10

```
TbSmHo2Se4
1.0
7.086 0.000 0.000
0.000 4.038 0.000
-2.307 0.000 6.787
Tb Sm Ho Se
1 1 2 4
Cartesian
0.000 0.000 0.000
3.543 2.019 0.000
-1.154 2.019 3.394
2.389 0.000 3.394
0.018 0.000 5.031
1.174 2.019 1.740
3.605 2.019 5.047
4.760 0.000 1.756
```


[4]
First-principles (PBE) data for an optimized crystal structure of TbSmHo4Se8, as listed in Alexandria via LeMat-Bulk.

## Properties
density = 6.28 Mg/m³
ΔE_f (raw) = -1.71 eV per atom
M_tot = 0.00 μB per formula unit
space group = No. 160

```
TbSmHo4Se8
1.0
4.210 2.431 6.893
-4.210 2.431 6.893
0.000 -4.861 6.893
Tb Sm Ho Se
1 1 4 8
Cartesian
0.000 0.000 0.000
0.000 0.000 7.754
0.000 2.419 17.248
2.095 -1.209 17.248
-2.095 -1.209 17.248
0.000 0.000 12.942
-2.214 -1.278 12.007
0.000 0.000 4.966
0.000 -2.610 8.714
-2.260 1.305 8.714
2.214 -1.278 12.007
0.000 2.556 12.007
0.000 0.000 15.673
2.260 1.305 8.714
```


[5]
First-principles (PBE) data for an optimized crystal structure of TbSm2HoSe5, as listed in Alexandria via LeMat-Bulk.

## Properties
density = 5.98 Mg/m³
ΔE_f (raw) = -1.22 eV per atom
M_tot = 0.00 μB per formula unit
space group = No. 123

```
TbSm2HoSe5
1.0
5.128 0.000 0.000
0.000 5.128 0.000
0.000 0.000 10.764
Tb Sm Ho Se
1 2 1 5
Cartesian
0.000 0.000 0.000
2.564 2.564 3.563
2.564 2.564 7.201
0.000 0.000 5.382
0.000 0.000 2.657
0.000 0.000 8.107
0.000 2.564 5.382
2.564 0.000 5.382
2.564 2.564 0.000
```


[6]
First-principles (PBE) data for an optimized crystal structure of Tb3SmHo3Se8, as listed in Alexandria via LeMat-Bulk.

## Properties
density = 7.65 Mg/m³
ΔE_f (raw) = -1.83 eV per atom
M_tot = 0.00 μB per formula unit
space group = No. 166

```
Tb3SmHo3Se8
1.0
4.067 2.348 6.646
-4.067 2.348 6.646
0.000 -4.696 6.646
Tb Sm Ho Se
3 1 3 8
Cartesian
-2.033 -1.174 6.646
-2.033 1.174 13.291
0.000 2.348 6.646
0.000 0.000 9.968
-4.067 0.000 9.968
-2.033 1.174 3.323
2.033 1.174 3.323
-2.104 -1.215 11.664
0.000 -2.430 8.273
-2.104 1.215 8.273
0.000 0.000 4.961
0.000 0.000 14.976
2.104 -1.215 11.664
0.000 2.430 11.664
2.104 1.215 8.273
```


[7]
First-principles (PBE) data for an optimized crystal structure of TbSm2HoSe6, as listed in Alexandria via LeMat-Bulk.

## Properties
density = 6.06 Mg/m³
ΔE_f (raw) = -1.85 eV per atom
M_tot = 0.00 μB per formula unit
space group = No. 146

```
TbSm2HoSe6
1.0
3.649 2.107 6.520
-3.649 2.107 6.520
0.000 -4.214 6.520
Tb Sm Ho Se
1 2 1 6
Cartesian
0.000 0.000 0.000
0.000 0.000 5.885
0.000 0.000 15.674
0.000 0.000 9.769
-1.042 -1.939 7.893
-2.470 -0.229 11.144
-1.159 1.872 7.893
1.434 -2.024 11.144
2.200 0.068 7.893
1.036 2.254 11.144
```


[8]
First-principles (PBE) data for an optimized crystal structure of TbSm4HoSe8, as listed in Alexandria via LeMat-Bulk.

## Properties
density = 5.87 Mg/m³
ΔE_f (raw) = -1.72 eV per atom
M_tot = 0.00 μB per formula unit
space group = No. 160

```
TbSm4HoSe8
1.0
4.272 2.467 6.962
-4.272 2.467 6.962
0.000 -4.933 6.962
Tb Sm Ho Se
1 4 1 8
Cartesian
0.000 0.000 0.000
0.000 2.449 17.428
2.121 -1.224 17.428
0.000 0.000 7.863
-2.121 -1.224 17.428
0.000 0.000 13.061
-2.241 -1.294 12.200
0.000 -2.648 8.744
-2.293 1.324 8.744
0.000 0.000 5.086
0.000 0.000 15.773
2.241 -1.294 12.200
0.000 2.588 12.200
2.293 1.324 8.744
```


[9]
First-principles (PBE) data for an optimized crystal structure of SmHoTeSe2, as listed in Alexandria via LeMat-Bulk.

## Properties
density = 6.51 Mg/m³
ΔE_f (raw) = -1.34 eV per atom
M_tot = 0.00 μB per formula unit
space group = No. 107

```
SmHoTeSe2
1.0
-2.326 2.326 7.079
2.326 -2.326 7.079
2.326 2.326 -7.079
Sm Ho Te Se
1 1 1 2
Cartesian
0.000 0.000 0.000
0.000 0.000 10.217
0.000 0.000 5.174
2.326 0.000 1.647
0.000 2.326 1.647
```


[10]
First-principles (PBE) data for an optimized crystal structure of Sm2Ho2Te2Se3, as listed in Alexandria via LeMat-Bulk.

## Properties
density = 7.53 Mg/m³
ΔE_f (raw) = -1.41 eV per atom
M_tot = 0.00 μB per formula unit
space group = No. 139

```
Sm2Ho2Te2Se3
1.0
-2.795 2.795 7.928
2.795 -2.795 7.928
2.795 2.795 -7.928
Sm Ho Te Se
2 2 2 3
Cartesian
0.000 0.000 3.075
0.000 0.000 12.781
2.795 0.000 0.000
0.000 2.795 0.000
0.000 0.000 6.254
0.000 0.000 9.602
0.000 0.000 0.000
2.795 0.000 3.964
0.000 2.795 3.964
```


[11]
First-principles (PBE) data for an optimized crystal structure of SmHo2ThSe4, as listed in Alexandria via LeMat-Bulk.

## Properties
density = 8.61 Mg/m³
ΔE_f (raw) = -1.69 eV per atom
M_tot = 0.00 μB per formula unit
space group = No. 10

```
SmHo2ThSe4
1.0
7.098 0.000 0.000
0.000 4.068 0.000
-2.345 0.000 6.863
Sm Ho Th Se
1 2 1 4
Cartesian
0.000 0.000 0.000
-1.172 2.034 3.432
2.377 0.000 3.432
3.549 2.034 0.000
0.000 0.000 5.046
1.176 2.034 1.805
3.578 2.034 5.059
4.754 0.000 1.818
```


[12]
First-principles (PBE) data for an optimized crystal structure of SmHo3Th4Se8, as listed in Alexandria via LeMat-Bulk.

## Properties
density = 9.10 Mg/m³
ΔE_f (raw) = -1.64 eV per atom
M_tot = 0.00 μB per formula unit
space group = No. 166

```
SmHo3Th4Se8
1.0
4.047 2.337 7.091
-4.047 2.337 7.091
0.000 -4.673 7.091
Sm Ho Th Se
1 3 4 8
Cartesian
0.000 0.000 0.000
-2.024 -1.168 7.091
-2.024 1.168 14.182
0.000 2.337 7.091
-4.047 0.000 10.636
-2.024 1.168 3.545
2.024 1.168 3.545
0.000 0.000 10.636
0.000 -2.301 8.762
-1.993 1.151 8.762
0.000 0.000 5.444
-1.993 -1.151 12.511
1.993 1.151 8.762
0.000 0.000 15.828
1.993 -1.151 12.511
0.000 2.301 12.511
```


Computed values of raw total energy (unit: eV/atom) for the preceding records, in sequence: -5.81 -5.70 -5.81 -5.68 -5.23 -5.85 -5.80 -5.72 -5.22 -5.34 -6.10 -6.39.